No. 1
NaHfFeTe2 | PBE | optimized geometry

abc: 5.267 5.267 5.129
angles: 90.00 90.00 90.00
Sites, in units of the cell vectors:
Na: 0.000 0.000 0.000
Hf: 0.000 0.000 0.500
Fe: 0.500 0.500 0.500
Te: 0.000 0.500 0.000
Te: 0.500 0.000 0.000

Results
Total energy = -18.86 eV per cell
Theoretical density = 6.0 g/cm3
Total magnetization = 3.08 μB per formula unit
ΔE_f (raw) = 1432 meV per atom
V = 142.2 Å³/cell
D(E_F) = 1.19 states/eV/atom

No. 2
NaHf2TlFe | PBE | optimized geometry

abc: 5.377 5.377 4.804
angles: 90.00 90.00 90.00
Sites, in units of the cell vectors:
Na: 0.000 0.000 0.000
Hf: 0.000 0.500 0.500
Hf: 0.500 0.000 0.500
Tl: 0.500 0.500 0.500
Fe: 0.500 0.500 0.000

Results
Total energy = -24.04 eV per cell
Theoretical density = 7.7 g/cm3
Total magnetization = 0.00 μB per formula unit
V = 138.9 Å³/cell
D(E_F) = 1.31 states/eV/atom

No. 3
NaHf2TlFe | PBE | optimized geometry

abc: 4.937 4.937 4.801
angles: 90.00 90.00 90.00
Sites, in units of the cell vectors:
Na: 0.000 0.000 0.000
Hf: 0.000 0.500 0.000
Hf: 0.500 0.000 0.000
Tl: 0.000 0.000 0.500
Fe: 0.500 0.500 0.500

Results
Total energy = -22.02 eV per cell
Theoretical density = 9.1 g/cm3
Total magnetization = 0.19 μB per formula unit
V = 117.0 Å³/cell
D(E_F) = 1.21 states/eV/atom

No. 4
HfNb3Fe8 | PBE | optimized geometry

abc: 4.852 4.852 7.906
angles: 90.00 90.00 120.00
Sites, in units of the cell vectors:
Hf: 0.000 0.000 0.000
Nb: 0.000 0.000 0.379
Nb: 0.667 0.333 0.496
Nb: 0.667 0.333 0.867
Fe: 0.165 0.331 0.685
Fe: 0.165 0.835 0.685
Fe: 0.333 0.667 0.438
Fe: 0.333 0.667 0.936
Fe: 0.502 0.003 0.188
Fe: 0.502 0.498 0.188
Fe: 0.669 0.835 0.685
Fe: 0.997 0.498 0.188

Results
Total energy = -110.00 eV per cell
Theoretical density = 9.3 g/cm3
Total magnetization = 10.79 μB per formula unit
V = 161.2 Å³/cell
D(E_F) = 1.31 states/eV/atom

No. 5
Hf3NbFe8 | PBE | optimized geometry

abc: 8.513 8.513 8.513
angles: 33.54 33.54 33.54
Sites, in units of the cell vectors:
Hf: 0.000 0.000 0.000
Hf: 0.126 0.126 0.126
Hf: 0.624 0.624 0.624
Nb: 0.500 0.500 0.500
Fe: 0.062 0.062 0.562
Fe: 0.062 0.562 0.062
Fe: 0.063 0.563 0.563
Fe: 0.312 0.312 0.312
Fe: 0.562 0.062 0.062
Fe: 0.563 0.063 0.563
Fe: 0.563 0.563 0.063
Fe: 0.812 0.812 0.812

Results
Total energy = -111.15 eV per cell
Theoretical density = 10.6 g/cm3
Total magnetization = 12.55 μB per formula unit
V = 167.8 Å³/cell
D(E_F) = 0.74 states/eV/atom

No. 6
Hf3NbFe4 | PBE | optimized geometry

abc: 3.113 3.113 12.533
angles: 90.00 90.00 90.00
Sites, in units of the cell vectors:
Hf: 0.000 0.000 0.000
Hf: 0.000 0.000 0.252
Hf: 0.000 0.000 0.748
Nb: 0.000 0.000 0.500
Fe: 0.500 0.500 0.126
Fe: 0.500 0.500 0.381
Fe: 0.500 0.500 0.619
Fe: 0.500 0.500 0.874

Results
Total energy = -75.78 eV per cell
Theoretical density = 11.6 g/cm3
Total magnetization = 1.23 μB per formula unit
V = 121.5 Å³/cell
D(E_F) = 0.56 states/eV/atom

No. 7
Hf4Nb2Fe | PBE | optimized geometry

abc: 4.612 4.612 14.249
angles: 90.00 90.00 90.00
Sites, in units of the cell vectors:
Hf: 0.000 0.000 0.178
Hf: 0.000 0.000 0.822
Hf: 0.000 0.500 0.000
Hf: 0.000 0.500 0.500
Hf: 0.500 0.000 0.000
Hf: 0.500 0.000 0.500
Hf: 0.500 0.500 0.322
Hf: 0.500 0.500 0.678
Nb: 0.000 0.000 0.370
Nb: 0.000 0.000 0.630
Nb: 0.500 0.500 0.130
Nb: 0.500 0.500 0.870
Fe: 0.000 0.000 0.000
Fe: 0.500 0.500 0.500

Results
Total energy = -127.68 eV per cell
Theoretical density = 10.5 g/cm3
Total magnetization = 0.00 μB per formula unit
V = 303.1 Å³/cell
D(E_F) = 1.33 states/eV/atom

No. 8
Hf4NbFe | PBE | optimized geometry

abc: 9.993 3.130 8.549
angles: 90.00 113.00 90.00
Sites, in units of the cell vectors:
Hf: 0.123 0.000 0.368
Hf: 0.168 0.500 0.824
Hf: 0.332 0.000 0.176
Hf: 0.377 0.500 0.632
Hf: 0.623 0.500 0.368
Hf: 0.668 0.000 0.824
Hf: 0.832 0.500 0.176
Hf: 0.877 0.000 0.632
Nb: 0.000 0.000 0.000
Nb: 0.500 0.500 0.000
Fe: 0.000 0.500 0.500
Fe: 0.500 0.000 0.500

Results
Total energy = -114.26 eV per cell
Theoretical density = 11.6 g/cm3
Total magnetization = 0.00 μB per formula unit
V = 246.1 Å³/cell
D(E_F) = 0.97 states/eV/atom

No. 9
Hf5NbFe4 | PBE | optimized geometry

abc: 3.143 3.143 16.558
angles: 90.00 90.00 90.00
Sites, in units of the cell vectors:
Hf: 0.000 0.000 0.000
Hf: 0.000 0.000 0.189
Hf: 0.000 0.000 0.378
Hf: 0.000 0.000 0.622
Hf: 0.000 0.000 0.811
Nb: 0.500 0.500 0.500
Fe: 0.500 0.500 0.095
Fe: 0.500 0.500 0.284
Fe: 0.500 0.500 0.716
Fe: 0.500 0.500 0.905

Results
Total energy = -96.05 eV per cell
Theoretical density = 12.3 g/cm3
Total magnetization = 0.19 μB per formula unit
V = 163.6 Å³/cell
D(E_F) = 0.62 states/eV/atom

No. 10
HfNbFe4 | PBE | optimized geometry

abc: 4.883 4.883 4.883
angles: 60.00 60.00 60.00
Sites, in units of the cell vectors:
Hf: 0.000 0.000 0.000
Nb: 0.750 0.750 0.750
Fe: 0.375 0.375 0.375
Fe: 0.375 0.375 0.875
Fe: 0.375 0.875 0.375
Fe: 0.875 0.375 0.375

Results
Total energy = -55.28 eV per cell
Theoretical density = 10.0 g/cm3
Total magnetization = 5.85 μB per formula unit
V = 82.3 Å³/cell
D(E_F) = 1.09 states/eV/atom

No. 11
HfNb2Fe9 | PBE | optimized geometry

abc: 8.323 8.323 8.323
angles: 33.65 33.65 33.65
Sites, in units of the cell vectors:
Hf: 0.000 0.000 0.000
Nb: 0.141 0.141 0.141
Nb: 0.859 0.859 0.859
Fe: 0.081 0.587 0.587
Fe: 0.333 0.333 0.333
Fe: 0.413 0.413 0.919
Fe: 0.413 0.919 0.413
Fe: 0.500 0.500 0.500
Fe: 0.587 0.081 0.587
Fe: 0.587 0.587 0.081
Fe: 0.667 0.667 0.667
Fe: 0.919 0.413 0.413

Results
Total energy = -107.99 eV per cell
Theoretical density = 9.1 g/cm3
Total magnetization = 14.19 μB per formula unit
V = 157.7 Å³/cell
D(E_F) = 1.19 states/eV/atom

No. 12
Hf4NbFe | PBE | optimized geometry

abc: 4.423 4.423 6.662
angles: 90.00 90.00 90.00
Sites, in units of the cell vectors:
Hf: 0.000 0.500 0.229
Hf: 0.000 0.500 0.771
Hf: 0.500 0.000 0.229
Hf: 0.500 0.000 0.771
Nb: 0.000 0.000 0.500
Fe: 0.500 0.500 0.000

Results
Total energy = -56.21 eV per cell
Theoretical density = 11.0 g/cm3
Total magnetization = 0.00 μB per formula unit
V = 130.4 Å³/cell
D(E_F) = 1.08 states/eV/atom